Record 1
! Na2Np2Se2S PBE relaxed; values from VASP
! final energy	-6.47	eV per atom
! volume	202	Å³/cell
! uncorrected formation energy	-0.806	eV per atom
&SYSTEM
  ibrav = 0, nat = 7, ntyp = 4
/
ATOMIC_SPECIES
Na 22.99 Na.upf
Np 237.00 Np.upf
Se 78.96 Se.upf
S 32.06 S.upf
ATOMIC_POSITIONS angstrom
Na 0.000 0.000 2.871
Na 2.606 2.606 4.583
Np 0.000 2.606 0.000
Np 2.606 0.000 0.000
Se 0.000 0.000 5.709
Se 2.606 2.606 1.745
S 0.000 0.000 0.000
CELL_PARAMETERS angstrom
5.211 0.000 0.000
0.000 5.211 0.000
-2.606 -2.606 7.454

Record 2
! Na4Sm3NpS8 PBE relaxed; values from VASP
! final energy	-5.78	eV per atom
! volume	384	Å³/cell
! uncorrected formation energy	-1.690	eV per atom
&SYSTEM
  ibrav = 0, nat = 16, ntyp = 4
/
ATOMIC_SPECIES
Na 22.99 Na.upf
Sm 150.36 Sm.upf
Np 237.00 Np.upf
S 32.06 S.upf
ATOMIC_POSITIONS angstrom
Na 4.070 0.000 0.000
Na 2.035 -2.033 2.880
Na 0.000 0.000 0.000
Na -2.035 -2.033 2.880
Sm 4.070 4.086 0.007
Sm 2.035 2.053 2.886
Sm -2.035 2.053 2.886
Np 0.000 4.086 0.007
S -2.049 1.948 5.699
S 0.000 3.995 2.799
S 0.000 0.108 2.951
S 2.049 1.948 5.699
S 2.021 2.158 0.074
S 4.070 3.997 2.821
S 4.070 0.111 2.973
S 6.120 2.158 0.074
CELL_PARAMETERS angstrom
8.141 0.000 0.000
0.000 8.172 0.013
-4.070 -4.066 5.759

Record 3
! Na4SmNp3S8 PBE relaxed; values from VASP
! final energy	-6.58	eV per atom
! volume	376	Å³/cell
! uncorrected formation energy	-1.465	eV per atom
&SYSTEM
  ibrav = 0, nat = 16, ntyp = 4
/
ATOMIC_SPECIES
Na 22.99 Na.upf
Sm 150.36 Sm.upf
Np 237.00 Np.upf
S 32.06 S.upf
ATOMIC_POSITIONS angstrom
Na -1.360 -0.787 3.718
Na -0.856 3.035 2.520
Na 0.000 0.000 0.000
Na 0.503 3.822 -1.197
Sm 3.248 -2.345 0.691
Np 1.889 -3.132 4.409
Np 2.392 0.690 3.212
Np 3.752 1.477 -0.506
S 5.064 3.719 0.474
S 4.567 -0.059 1.657
S 1.615 2.252 1.068
S 3.720 2.941 4.150
S 1.064 -1.561 2.274
S 3.169 -0.872 5.356
S 0.217 1.439 4.766
S -0.281 -2.340 5.950
CELL_PARAMETERS angstrom
-2.719 -1.575 7.436
6.497 -4.689 1.383
1.006 7.644 -2.395

Among the records above, which one has the lowest final energy?
Na4SmNp3S8